[1]
# Na2BiC | the Alexandria database | PBEsol | optimized geometry
data_Na2BiC
_chemical_formula_sum 'Na8 Bi4 C4'
_cell_length_a 10.183
_cell_length_b 10.183
_cell_length_c 4.730
_cell_angle_alpha 90.00
_cell_angle_beta 90.00
_cell_angle_gamma 90.00
_symmetry_space_group_name_H-M 'I -4 2 d'
_symmetry_Int_Tables_number 122
_symmetry_space_group_name_Hall 'I -4 2bw'
loop_
_atom_site_label
_atom_site_fract_x
_atom_site_fract_y
_atom_site_fract_z
_atom_site_occupancy
Na1 0.005 0.250 0.125 1
Bi1 0.000 0.000 0.500 1
C1 0.000 0.000 0.000 1
# **ΔH_f (0 K)**: 0.86 eV/atom
# **Magnetization**: 0.000 μB per atom
# **Fermi-level density of states**: 6.955 states/eV/cell

=====

[2]
# CuTe2 | the Alexandria database | PBEsol | optimized geometry
data_CuTe2
_chemical_formula_sum 'Cu4 Te8'
_cell_length_a 3.865
_cell_length_b 7.033
_cell_length_c 10.434
_cell_angle_alpha 90.00
_cell_angle_beta 90.00
_cell_angle_gamma 90.00
_symmetry_space_group_name_H-M 'C m c e'
_symmetry_Int_Tables_number 64
_symmetry_space_group_name_Hall '-C 2ac 2'
loop_
_atom_site_label
_atom_site_fract_x
_atom_site_fract_y
_atom_site_fract_z
_atom_site_occupancy
Cu1 0.000 0.000 0.000 1
Te1 0.000 0.192 0.368 1
# **Raw formation energy**: 2 meV/atom
# **Magnetization**: 0.000 μB per atom
# **Fermi-level density of states**: 6.777 states/eV/cell

=====

[3]
# CaCd2Ir | the Alexandria database | PBEsol | optimized geometry
data_CaCd2Ir
_chemical_formula_sum 'Ca2 Cd4 Ir2'
_cell_length_a 4.366
_cell_length_b 4.366
_cell_length_c 8.129
_cell_angle_alpha 90.00
_cell_angle_beta 90.00
_cell_angle_gamma 90.00
_symmetry_space_group_name_H-M 'I -4 m 2'
_symmetry_Int_Tables_number 119
_symmetry_space_group_name_Hall 'I -4 -2'
loop_
_atom_site_label
_atom_site_fract_x
_atom_site_fract_y
_atom_site_fract_z
_atom_site_occupancy
Ca1 0.000 0.000 0.000 1
Cd1 0.000 0.000 0.500 1
Cd2 0.000 0.500 0.750 1
Ir1 0.000 0.500 0.250 1
# **ΔH_f (0 K)**: -0.05 eV/atom
# **Magnetization**: 0.000 μB per atom
# **Fermi-level density of states**: 3.937 states/eV/cell

=====

[4]
# Hf2ReSbF | the Alexandria database | PBEsol | optimized geometry
data_Hf2ReSbF
_chemical_formula_sum 'Hf2 Re1 Sb1 F1'
_cell_length_a 4.205
_cell_length_b 4.205
_cell_length_c 4.866
_cell_angle_alpha 90.00
_cell_angle_beta 90.00
_cell_angle_gamma 90.00
_symmetry_space_group_name_H-M 'P 4/m m m'
_symmetry_Int_Tables_number 123
_symmetry_space_group_name_Hall '-P 4 2'
loop_
_atom_site_label
_atom_site_fract_x
_atom_site_fract_y
_atom_site_fract_z
_atom_site_occupancy
Hf1 0.000 0.500 0.000 1
Re1 0.000 0.000 0.500 1
Sb1 0.500 0.500 0.500 1
F1 0.500 0.500 0.000 1
# **Raw formation energy**: -208 meV/atom
# **Magnetization**: 0.000 μB per atom
# **Fermi-level density of states**: 3.519 states/eV/cell

=====

[5]
# LaBeNi2 | the Alexandria database | PBEsol | optimized geometry
data_LaBeNi2
_chemical_formula_sum 'La4 Be4 Ni8'
_cell_length_a 6.288
_cell_length_b 6.288
_cell_length_c 6.288
_cell_angle_alpha 90.00
_cell_angle_beta 90.00
_cell_angle_gamma 90.00
_symmetry_space_group_name_H-M 'F -4 3 m'
_symmetry_Int_Tables_number 216
_symmetry_space_group_name_Hall 'F -4 2 3'
loop_
_atom_site_label
_atom_site_fract_x
_atom_site_fract_y
_atom_site_fract_z
_atom_site_occupancy
La1 0.000 0.000 0.000 1
Be1 0.250 0.250 0.750 1
Ni1 0.000 0.000 0.500 1
Ni2 0.250 0.250 0.250 1
# **ΔH_f (0 K)**: 0.29 eV/atom
# **Magnetization**: 0.000 μB per atom
# **Fermi-level density of states**: 17.554 states/eV/cell

=====

[6]
# Ti2Cu2Hg | the Alexandria database | PBEsol | optimized geometry
data_Ti2Cu2Hg
_chemical_formula_sum 'Ti4 Cu4 Hg2'
_cell_length_a 6.905
_cell_length_b 6.905
_cell_length_c 3.153
_cell_angle_alpha 90.00
_cell_angle_beta 90.00
_cell_angle_gamma 90.00
_symmetry_space_group_name_H-M 'P 4/m b m'
_symmetry_Int_Tables_number 127
_symmetry_space_group_name_Hall '-P 4 2ab'
loop_
_atom_site_label
_atom_site_fract_x
_atom_site_fract_y
_atom_site_fract_z
_atom_site_occupancy
Ti1 0.167 0.333 0.000 1
Cu1 0.125 0.625 0.500 1
Hg1 0.000 0.000 0.500 1
# **ΔH_f (0 K)**: -0.09 eV/atom
# **Magnetization**: 0.159 μB per atom
# **Fermi-level density of states**: 10.738 states/eV/cell

=====

[7]
# MnZnO2 | the Alexandria database | PBEsol | optimized geometry
data_MnZnO2
_chemical_formula_sum 'Mn4 Zn4 O8'
_cell_length_a 4.634
_cell_length_b 4.634
_cell_length_c 9.241
_cell_angle_alpha 90.00
_cell_angle_beta 90.00
_cell_angle_gamma 90.00
_symmetry_space_group_name_H-M 'I -4 2 d'
_symmetry_Int_Tables_number 122
_symmetry_space_group_name_Hall 'I -4 2bw'
loop_
_atom_site_label
_atom_site_fract_x
_atom_site_fract_y
_atom_site_fract_z
_atom_site_occupancy
Mn1 0.000 0.000 0.000 1
Zn1 0.000 0.000 0.500 1
O1 0.240 0.250 0.625 1
# **Raw formation energy**: -1273 meV/atom
# **Magnetization**: 1.246 μB per atom
# **Fermi-level density of states**: 2.400 states/eV/cell

=====

[8]
# PdPt2F | the Alexandria database | PBEsol | optimized geometry
data_PdPt2F
_chemical_formula_sum 'Pd4 Pt8 F4'
_cell_length_a 6.051
_cell_length_b 6.051
_cell_length_c 6.051
_cell_angle_alpha 90.00
_cell_angle_beta 90.00
_cell_angle_gamma 90.00
_symmetry_space_group_name_H-M 'F m -3 m'
_symmetry_Int_Tables_number 225
_symmetry_space_group_name_Hall '-F 4 2 3'
loop_
_atom_site_label
_atom_site_fract_x
_atom_site_fract_y
_atom_site_fract_z
_atom_site_occupancy
Pd1 0.000 0.000 0.000 1
Pt1 0.250 0.250 0.250 1
F1 0.000 0.000 0.500 1
# **Raw formation energy**: 244 meV/atom
# **Magnetization**: 0.003 μB per atom
# **Fermi-level density of states**: 29.258 states/eV/cell

=====

[9]
# CoNi3I | the Alexandria database | PBEsol | optimized geometry
data_CoNi3I
_chemical_formula_sum 'Co1 Ni3 I1'
_cell_length_a 4.297
_cell_length_b 4.297
_cell_length_c 4.297
_cell_angle_alpha 90.00
_cell_angle_beta 90.00
_cell_angle_gamma 90.00
_symmetry_space_group_name_H-M 'P m -3 m'
_symmetry_Int_Tables_number 221
_symmetry_space_group_name_Hall '-P 4 2 3'
loop_
_atom_site_label
_atom_site_fract_x
_atom_site_fract_y
_atom_site_fract_z
_atom_site_occupancy
Co1 0.000 0.000 0.000 1
Ni1 0.000 0.000 0.500 1
I1 0.500 0.500 0.500 1
# **Raw formation energy**: 1000 meV/atom
# **Magnetization**: 0.727 μB per atom
# **Fermi-level density of states**: 4.518 states/eV/cell

=====

[10]
# MnIrBr2 | the Alexandria database | PBEsol | optimized geometry
data_MnIrBr2
_chemical_formula_sum 'Mn2 Ir2 Br4'
_cell_length_a 6.465
_cell_length_b 3.731
_cell_length_c 7.244
_cell_angle_alpha 90.00
_cell_angle_beta 90.46
_cell_angle_gamma 90.00
_symmetry_space_group_name_H-M 'C 1 m 1'
_symmetry_Int_Tables_number 8
_symmetry_space_group_name_Hall 'C -2y'
loop_
_atom_site_label
_atom_site_fract_x
_atom_site_fract_y
_atom_site_fract_z
_atom_site_occupancy
Mn1 0.000 0.000 0.000 1
Ir1 0.168 0.500 0.162 1
Br1 0.165 0.500 0.788 1
Br2 0.337 0.000 0.359 1
# **Excess energy over the best structure of this formula in the dataset**: 0 meV per atom
# **Raw formation energy**: 181 meV/atom
# **Magnetization**: 0.871 μB per atom
# **Fermi-level density of states**: 5.600 states/eV/cell

=====

[11]
# NbReS3 | the Alexandria database | PBEsol | optimized geometry
data_NbReS3
_chemical_formula_sum 'Nb1 Re1 S3'
_cell_length_a 4.746
_cell_length_b 4.746
_cell_length_c 4.746
_cell_angle_alpha 90.00
_cell_angle_beta 90.00
_cell_angle_gamma 90.00
_symmetry_space_group_name_H-M 'P m -3 m'
_symmetry_Int_Tables_number 221
_symmetry_space_group_name_Hall '-P 4 2 3'
loop_
_atom_site_label
_atom_site_fract_x
_atom_site_fract_y
_atom_site_fract_z
_atom_site_occupancy
Nb1 0.000 0.000 0.000 1
Re1 0.500 0.500 0.500 1
S1 0.000 0.000 0.500 1
# **Raw formation energy**: 855 meV/atom
# **Magnetization**: 1.093 μB per atom
# **Fermi-level density of states**: 2.288 states/eV/cell

=====

[12]
# NiOs3 | the Alexandria database | PBEsol | optimized geometry
data_NiOs3
_chemical_formula_sum 'Ni3 Os9'
_cell_length_a 8.4518
_cell_length_b 8.4518
_cell_length_c 2.6380
_cell_angle_alpha 90.00
_cell_angle_beta 90.00
_cell_angle_gamma 120.00
_symmetry_space_group_name_H-M 'R -3 m'
_symmetry_Int_Tables_number 166
_symmetry_space_group_name_Hall '-R 3 2"'
loop_
_atom_site_label
_atom_site_fract_x
_atom_site_fract_y
_atom_site_fract_z
_atom_site_occupancy
Ni1 0.0000 0.0000 0.0000 1
Os1 0.0000 0.5000 0.0000 1
# **ΔH_f (0 K)**: 0.71 eV/atom
# **Magnetization**: 0.000 μB per atom
# **Fermi-level density of states**: 20.418 states/eV/cell